Pa4CoIr3: optimized geometry, PBE.

CIF file:
```
data_Pa4CoIr3
_chemical_formula_sum 'Pa16 Co4 Ir12'
_cell_length_a 7.7450
_cell_length_b 8.1816
_cell_length_c 11.1073
_cell_angle_alpha 90.00
_cell_angle_beta 90.00
_cell_angle_gamma 90.00
_space_group_name_H-M_alt 'F m m m'
_space_group_IT_number 69
_space_group_name_Hall '-F 2 2'
loop_
_atom_site_label
_atom_site_type_symbol
_atom_site_fract_x
_atom_site_fract_y
_atom_site_fract_z
_atom_site_occupancy
Pa1 Pa 0.0000 0.0000 0.2412 1
Pa2 Pa 0.2500 0.2500 0.0000 1
Co1 Co 0.0000 0.0000 0.0000 1
Ir1 Ir 0.0000 0.0000 0.5000 1
Ir2 Ir 0.2500 0.2500 0.2500 1
```

Calculated values
Crystal system: orthorhombic
DFT formation energy, eV per formula unit: -5.48
Total moment, μB per formula unit: 0.00

---

Pa2Co4Ir: optimized geometry, PBE.

CIF file:
```
data_Pa2Co4Ir
_chemical_formula_sum 'Pa4 Co8 Ir2'
_cell_length_a 7.5743
_cell_length_b 7.6498
_cell_length_c 3.7882
_cell_angle_alpha 90.00
_cell_angle_beta 90.00
_cell_angle_gamma 90.00
_space_group_name_H-M_alt 'C m m m'
_space_group_IT_number 65
_space_group_name_Hall '-C 2 2'
loop_
_atom_site_label
_atom_site_type_symbol
_atom_site_fract_x
_atom_site_fract_y
_atom_site_fract_z
_atom_site_occupancy
Pa1 Pa 0.2216 0.0000 0.0000 1
Co1 Co 0.0000 0.2544 0.0000 1
Co2 Co 0.2500 0.2500 0.5000 1
Ir1 Ir 0.0000 0.5000 0.5000 1
```

Calculated values
Crystal system: orthorhombic
DFT formation energy, eV per formula unit: -2.50
Energy above the most stable polymorph in this dataset, eV/atom: 0.000
Total moment, μB per formula unit: 0.00

---

Pa5Co6Ir: optimized geometry, PBE.

CIF file:
```
data_Pa5Co6Ir
_chemical_formula_sum 'Pa10 Co12 Ir2'
_cell_length_a 7.5349
_cell_length_b 12.8320
_cell_length_c 4.9996
_cell_angle_alpha 90.00
_cell_angle_beta 120.95
_cell_angle_gamma 90.00
_space_group_name_H-M_alt 'C 1 2/m 1'
_space_group_IT_number 12
loop_
_space_group_symop_operation_xyz
'x,y,z'
'-x,-y,-z'
'-x,y,-z'
'x,-y,z'
'x+1/2,y+1/2,z'
'-x+1/2,-y+1/2,-z'
'-x+1/2,y+1/2,-z'
'x+1/2,-y+1/2,z'
loop_
_atom_site_label
_atom_site_type_symbol
_atom_site_fract_x
_atom_site_fract_y
_atom_site_fract_z
_atom_site_occupancy
Pa1 Pa 0.0000 0.0000 0.0000 1
Pa2 Pa 0.0000 0.1999 0.5000 1
Pa3 Pa 0.0000 0.3716 0.0000 1
Co1 Co 0.1975 0.0000 0.6049 1
Co2 Co 0.2059 0.1609 0.2341 1
Ir1 Ir 0.0000 0.5000 0.5000 1
```

Calculated values
Crystal system: monoclinic
DFT formation energy, eV per formula unit: -4.15
Total moment, μB per formula unit: 0.00

---

E, respectively: -9.64, -8.40, -8.59 eV/atom.